# Tl3CdIr PBE-GGA optimized geometry
# Density of states at the Fermi level = 1.39 states/eV/f.u.
# ΔE_f = 0.15 eV/atom
# Magnetization = 0.000 μB per cell
# Excess energy over the best structure of this formula in the dataset = 0.0 meV per atom
# Symmetry = Pm-3m (221)
data_Tl3CdIr
_symmetry_space_group_name_H-M 'P 1'
_symmetry_Int_Tables_number 1
_cell_length_a 5.3386
_cell_length_b 5.3386
_cell_length_c 5.3386
_cell_angle_alpha 90.00
_cell_angle_beta 90.00
_cell_angle_gamma 90.00
loop_
_symmetry_equiv_pos_as_xyz
'x,y,z'
loop_
_atom_site_label
_atom_site_fract_x
_atom_site_fract_y
_atom_site_fract_z
Tl1 0.0000 0.0000 0.5000
Tl2 0.0000 0.5000 0.0000
Tl3 0.5000 0.0000 0.0000
Cd1 0.5000 0.5000 0.5000
Ir1 0.0000 0.0000 0.0000